Entry 1:
Computed, not measured: an optimized crystal structure of NbTlCuPt at the PBE level of DFT.

Results
Distance to the lowest polymorph of the same formula: 26 meV per atom

a b c (Å): 4.606 4.606 4.606
angles (deg): 60.00 60.00 60.00
Fractional coordinates of all 4 atoms:
Nb1 0.250 0.250 0.250
Tl1 0.000 0.000 0.000
Cu1 0.750 0.750 0.750
Pt1 0.500 0.500 0.500


Entry 2:
Computed, not measured: an optimized crystal structure of NbTlCuPt at the PBE level of DFT.

Results
Distance to the lowest polymorph of the same formula: 0 meV per atom

a b c (Å): 4.596 4.596 4.596
angles (deg): 60.00 60.00 60.00
Fractional coordinates of all 4 atoms:
Nb1 0.500 0.500 0.500
Tl1 0.000 0.000 0.000
Pt1 0.250 0.250 0.250
Cu1 0.750 0.750 0.750


Entry 3:
Computed, not measured: an optimized crystal structure of PuNbCu at the PBE level of DFT.

Results
Distance to the lowest polymorph of the same formula: 211 meV per atom
Calculated formation energy: 1194 meV per atom

a b c (Å): 4.369 4.369 4.369
angles (deg): 60.00 60.00 60.00
Fractional coordinates of all 3 atoms:
Nb1 0.250 0.250 0.250
Pu1 0.750 0.750 0.750
Cu1 0.000 0.000 0.000


Entry 4:
Computed, not measured: an optimized crystal structure of PuNbCu at the PBE level of DFT.

Results
Distance to the lowest polymorph of the same formula: 0 meV per atom
Calculated formation energy: 983 meV per atom

a b c (Å): 4.358 4.358 4.358
angles (deg): 60.00 60.00 60.00
Site moments in Bohr magnetons follow the coordinates.
Fractional coordinates of all 3 atoms:
Pu1 0.250 0.250 0.250  4.46
Cu1 0.500 0.500 0.500  -0.02
Nb1 0.000 0.000 0.000  -0.11


Entry 5:
Computed, not measured: an optimized crystal structure of RbNbCuTe2S at the PBE level of DFT.

a b c (Å): 8.532 8.532 9.999
angles (deg): 90.00 90.00 153.84
Site moments in Bohr magnetons follow the coordinates.
Fractional coordinates of all 12 atoms:
Te1 0.878 0.122 0.550  -0.01
S1 0.549 0.451 0.750  -0.01
Te2 0.122 0.878 0.450  -0.01
S2 0.451 0.549 0.250  -0.01
Nb1 0.500 0.500 0.500  0.48
Cu1 0.025 0.975 0.250  0.00
Te3 0.122 0.878 0.050  -0.01
Nb2 0.500 0.500 0.000  0.48
Cu2 0.975 0.025 0.750  0.00
Rb1 0.231 0.769 0.750  0.00
Te4 0.878 0.122 0.950  -0.01
Rb2 0.769 0.231 0.250  0.00


Entry 6:
Computed, not measured: an optimized crystal structure of RbNbCuTeS2 at the PBE level of DFT.

a b c (Å): 8.404 8.404 10.148
angles (deg): 90.00 90.00 154.77
Site moments in Bohr magnetons follow the coordinates.
Fractional coordinates of all 12 atoms:
Nb1 0.500 0.500 0.500  0.39
Nb2 0.500 0.500 0.000  0.40
Te1 0.586 0.414 0.750  0.00
Te2 0.414 0.586 0.250  0.00
Cu1 0.026 0.974 0.250  0.01
S1 0.099 0.901 0.438  -0.01
S2 0.099 0.901 0.062  -0.01
S3 0.901 0.099 0.562  -0.01
Rb1 0.279 0.721 0.750  0.00
S4 0.901 0.099 0.938  -0.01
Rb2 0.721 0.279 0.250  0.00
Cu2 0.974 0.026 0.750  0.01


Entry 7:
Computed, not measured: an optimized crystal structure of RbNbCuSe3 at the PBE level of DFT.

a b c (Å): 8.709 3.783 10.133
angles (deg): 90.00 114.65 90.00
Site moments in Bohr magnetons follow the coordinates.
Fractional coordinates of all 12 atoms:
Rb1 0.741 0.250 0.220  0.00
Nb1 0.304 0.250 0.335  0.52
Se1 0.462 0.250 0.628  -0.01
Rb2 0.259 0.750 0.780  0.00
Se2 0.898 0.250 0.646  -0.02
Se3 0.767 0.750 0.940  -0.01
Se4 0.102 0.750 0.354  -0.02
Se5 0.233 0.250 0.060  -0.01
Cu1 0.921 0.250 0.891  0.01
Nb2 0.696 0.750 0.665  0.52
Se6 0.538 0.750 0.372  -0.01
Cu2 0.079 0.750 0.109  0.01


Entry 8:
Computed, not measured: an optimized crystal structure of RbNbCuTeSe2 at the PBE level of DFT.

a b c (Å): 8.441 8.441 10.392
angles (deg): 90.00 90.00 153.96
Site moments in Bohr magnetons follow the coordinates.
Fractional coordinates of all 12 atoms:
Se1 0.892 0.108 0.055  -0.01
Cu1 0.969 0.031 0.250  0.00
Rb1 0.731 0.269 0.750  0.00
Nb1 0.500 0.500 0.000  0.59
Te1 0.577 0.423 0.250  -0.01
Se2 0.108 0.892 0.945  -0.02
Nb2 0.500 0.500 0.500  0.59
Se3 0.108 0.892 0.555  -0.01
Cu2 0.031 0.969 0.750  0.00
Rb2 0.269 0.731 0.250  0.00
Te2 0.423 0.577 0.750  -0.01
Se4 0.892 0.108 0.445  -0.01


Entry 9:
Computed, not measured: an optimized crystal structure of RbNb3Cu2Te6 at the PBE level of DFT.

a b c (Å): 8.721 8.721 10.576
angles (deg): 114.84 114.84 25.37
Fractional coordinates of all 12 atoms:
Te1 0.147 0.147 0.922
Te2 0.551 0.551 0.226
Te3 0.449 0.449 0.774
Te4 0.287 0.287 0.333
Nb1 0.326 0.326 0.873
Cu1 0.288 0.288 0.582
Te5 0.853 0.853 0.078
Nb2 0.000 0.000 0.000
Nb3 0.674 0.674 0.127
Rb1 0.000 0.000 0.500
Te6 0.713 0.713 0.667
Cu2 0.712 0.712 0.418


Entry 10:
Computed, not measured: an optimized crystal structure of RbNbCuTe3 at the PBE level of DFT.

a b c (Å): 13.020 4.147 13.568
angles (deg): 90.00 90.00 90.00
Fractional coordinates of all 24 atoms:
Te1 0.811 0.500 0.998
Te2 0.823 0.000 0.754
Rb1 0.452 0.500 0.310
Rb2 0.048 0.500 0.810
Cu1 0.799 0.500 0.656
Cu2 0.701 0.500 0.156
Cu3 0.201 0.000 0.344
Te3 0.177 0.500 0.246
Nb1 0.662 0.000 0.033
Nb2 0.838 0.000 0.533
Te4 0.559 0.500 0.921
Te5 0.059 0.000 0.579
Te6 0.689 0.500 0.498
Te7 0.941 0.500 0.421
Rb3 0.548 0.000 0.690
Rb4 0.952 0.000 0.190
Te8 0.323 0.500 0.746
Te9 0.441 0.000 0.079
Te10 0.189 0.000 0.002
Te11 0.677 0.000 0.254
Nb3 0.338 0.500 0.967
Te12 0.311 0.000 0.502
Nb4 0.162 0.500 0.467
Cu4 0.299 0.000 0.844


Entry 11:
Computed, not measured: an optimized crystal structure of RbNbCuTe3 at the PBE level of DFT.

a b c (Å): 8.629 8.629 10.691
angles (deg): 90.00 90.00 153.34
Site moments in Bohr magnetons follow the coordinates.
Fractional coordinates of all 12 atoms:
Rb1 0.252 0.748 0.750  0.00
Te1 0.118 0.882 0.050  -0.02
Te2 0.118 0.882 0.450  -0.02
Nb1 0.500 0.500 0.500  0.70
Rb2 0.748 0.252 0.250  0.00
Cu1 0.967 0.033 0.750  -0.01
Te3 0.882 0.118 0.550  -0.02
Nb2 0.500 0.500 0.000  0.70
Cu2 0.033 0.967 0.250  -0.01
Te4 0.882 0.118 0.950  -0.02
Te5 0.433 0.567 0.250  -0.02
Te6 0.567 0.433 0.750  -0.02


Entry 12:
Computed, not measured: an optimized crystal structure of NbCuRe2 at the PBE level of DFT.

Results
Calculated formation energy: 205 meV per atom

a b c (Å): 4.401 4.401 4.401
angles (deg): 60.00 60.00 60.00
Fractional coordinates of all 4 atoms:
Cu1 0.250 0.250 0.250
Re1 0.750 0.750 0.750
Nb1 0.500 0.500 0.500
Re2 0.000 0.000 0.000


Which E belongs to each record? In order, -5.455, -5.481, -8.119, -8.330, -4.764, -5.093, -4.970, -4.799, -5.194, -4.436, -4.490, -9.459 eV/atom.